Entry 1:
VASP calculation (PBE) on an optimized crystal structure of Nd2MgCu9.

Structure (CIF):
```
data_Nd2MgCu9
_chemical_formula_sum 'Nd2 Mg1 Cu9'
_cell_length_a 8.953
_cell_length_b 8.953
_cell_length_c 8.953
_cell_angle_alpha 33.32
_cell_angle_beta 33.32
_cell_angle_gamma 33.32
_space_group_name_H-M_alt 'P 1'
_space_group_IT_number 1
_space_group_name_Hall 'P 1'
loop_
_atom_site_label
_atom_site_type_symbol
_atom_site_fract_x
_atom_site_fract_y
_atom_site_fract_z
_atom_site_occupancy
Nd1 Nd 0.136 0.136 0.136 1
Nd2 Nd 0.864 0.864 0.864 1
Mg1 Mg 0.000 0.000 0.000 1
Cu1 Cu 0.080 0.579 0.579 1
Cu2 Cu 0.333 0.333 0.333 1
Cu3 Cu 0.421 0.421 0.920 1
Cu4 Cu 0.421 0.920 0.421 1
Cu5 Cu 0.500 0.500 0.500 1
Cu6 Cu 0.579 0.080 0.579 1
Cu7 Cu 0.579 0.579 0.080 1
Cu8 Cu 0.667 0.667 0.667 1
Cu9 Cu 0.920 0.421 0.421 1
```

Output
Electronic total energy   -4.087 eV per atom

Entry 2:
VASP calculation (PBE) on an optimized crystal structure of NdMg4Cu2.

Structure (CIF):
```
data_NdMg4Cu2
_chemical_formula_sum 'Nd1 Mg4 Cu2'
_cell_length_a 8.399
_cell_length_b 8.399
_cell_length_c 4.277
_cell_angle_alpha 90.00
_cell_angle_beta 90.00
_cell_angle_gamma 150.43
_space_group_name_H-M_alt 'P 1'
_space_group_IT_number 1
_space_group_name_Hall 'P 1'
loop_
_atom_site_label
_atom_site_type_symbol
_atom_site_fract_x
_atom_site_fract_y
_atom_site_fract_z
_atom_site_occupancy
Nd1 Nd 0.000 0.000 0.000 1
Mg1 Mg 0.176 0.824 0.500 1
Mg2 Mg 0.324 0.676 0.000 1
Mg3 Mg 0.676 0.324 0.000 1
Mg4 Mg 0.824 0.176 0.500 1
Cu1 Cu 0.426 0.574 0.500 1
Cu2 Cu 0.574 0.426 0.500 1
```

Output
Electronic total energy   -2.873 eV per atom
Energy relative to the lowest polymorph listed for this composition   0.04 eV/f.u.

Entry 3:
VASP calculation (PBE) on an optimized crystal structure of NdMg2Cu2.

Structure (CIF):
```
data_NdMg2Cu2
_chemical_formula_sum 'Nd2 Mg4 Cu4'
_cell_length_a 4.858
_cell_length_b 3.951
_cell_length_c 11.056
_cell_angle_alpha 90.00
_cell_angle_beta 96.87
_cell_angle_gamma 90.00
_space_group_name_H-M_alt 'P 1'
_space_group_IT_number 1
_space_group_name_Hall 'P 1'
loop_
_atom_site_label
_atom_site_type_symbol
_atom_site_fract_x
_atom_site_fract_y
_atom_site_fract_z
_atom_site_occupancy
Nd1 Nd 0.183 0.250 0.243 1
Nd2 Nd 0.817 0.750 0.757 1
Mg1 Mg 0.249 0.750 0.497 1
Mg2 Mg 0.352 0.250 0.897 1
Mg3 Mg 0.648 0.750 0.103 1
Mg4 Mg 0.751 0.250 0.503 1
Cu1 Cu 0.135 0.750 0.026 1
Cu2 Cu 0.296 0.250 0.657 1
Cu3 Cu 0.704 0.750 0.343 1
Cu4 Cu 0.865 0.250 0.974 1
```

Output
Electronic total energy   -3.334 eV per atom
Energy relative to the lowest polymorph listed for this composition   0.12 eV/f.u.

Entry 4:
VASP calculation (PBE) on an optimized crystal structure of Nd4Mg3Cu.

Structure (CIF):
```
data_Nd4Mg3Cu
_chemical_formula_sum 'Nd4 Mg3 Cu1'
_cell_length_a 3.790
_cell_length_b 3.790
_cell_length_c 15.421
_cell_angle_alpha 90.00
_cell_angle_beta 90.00
_cell_angle_gamma 90.00
_space_group_name_H-M_alt 'P 1'
_space_group_IT_number 1
_space_group_name_Hall 'P 1'
loop_
_atom_site_label
_atom_site_type_symbol
_atom_site_fract_x
_atom_site_fract_y
_atom_site_fract_z
_atom_site_occupancy
Nd1 Nd 0.000 0.000 0.109 1
Nd2 Nd 0.000 0.000 0.370 1
Nd3 Nd 0.000 0.000 0.630 1
Nd4 Nd 0.000 0.000 0.891 1
Mg1 Mg 0.500 0.500 0.242 1
Mg2 Mg 0.500 0.500 0.500 1
Mg3 Mg 0.500 0.500 0.758 1
Cu1 Cu 0.500 0.500 0.000 1
```

Output
Electronic total energy   -3.597 eV per atom

Entry 5:
VASP calculation (PBE) on an optimized crystal structure of NdMgCu10.

Structure (CIF):
```
data_NdMgCu10
_chemical_formula_sum 'Nd1 Mg1 Cu10'
_cell_length_a 4.097
_cell_length_b 5.003
_cell_length_c 8.674
_cell_angle_alpha 90.00
_cell_angle_beta 90.00
_cell_angle_gamma 90.00
_space_group_name_H-M_alt 'P 1'
_space_group_IT_number 1
_space_group_name_Hall 'P 1'
loop_
_atom_site_label
_atom_site_type_symbol
_atom_site_fract_x
_atom_site_fract_y
_atom_site_fract_z
_atom_site_occupancy
Nd1 Nd 0.000 0.000 0.000 1
Mg1 Mg 0.000 0.500 0.500 1
Cu1 Cu 0.000 0.000 0.345 1
Cu2 Cu 0.000 0.000 0.655 1
Cu3 Cu 0.000 0.500 0.184 1
Cu4 Cu 0.000 0.500 0.816 1
Cu5 Cu 0.500 0.000 0.500 1
Cu6 Cu 0.500 0.250 0.253 1
Cu7 Cu 0.500 0.250 0.747 1
Cu8 Cu 0.500 0.500 0.000 1
Cu9 Cu 0.500 0.750 0.253 1
Cu10 Cu 0.500 0.750 0.747 1
```

Output
Electronic total energy   -4.039 eV per atom

Entry 6:
VASP calculation (PBE) on an optimized crystal structure of NdMgCu2.

Structure (CIF):
```
data_NdMgCu2
_chemical_formula_sum 'Nd1 Mg1 Cu2'
_cell_length_a 4.922
_cell_length_b 4.922
_cell_length_c 3.245
_cell_angle_alpha 90.00
_cell_angle_beta 90.00
_cell_angle_gamma 90.00
_space_group_name_H-M_alt 'P 1'
_space_group_IT_number 1
_space_group_name_Hall 'P 1'
loop_
_atom_site_label
_atom_site_type_symbol
_atom_site_fract_x
_atom_site_fract_y
_atom_site_fract_z
_atom_site_occupancy
Nd1 Nd 0.000 0.000 0.000 1
Mg1 Mg 0.500 0.500 0.000 1
Cu1 Cu 0.000 0.500 0.500 1
Cu2 Cu 0.500 0.000 0.500 1
```

Output
Electronic total energy   -3.664 eV per atom

Entry 7:
VASP calculation (PBE) on an optimized crystal structure of Nd2MgCu6.

Structure (CIF):
```
data_Nd2MgCu6
_chemical_formula_sum 'Nd2 Mg1 Cu6'
_cell_length_a 5.732
_cell_length_b 5.732
_cell_length_c 5.687
_cell_angle_alpha 90.03
_cell_angle_beta 90.03
_cell_angle_gamma 60.10
_space_group_name_H-M_alt 'P 1'
_space_group_IT_number 1
_space_group_name_Hall 'P 1'
loop_
_atom_site_label
_atom_site_type_symbol
_atom_site_fract_x
_atom_site_fract_y
_atom_site_fract_z
_atom_site_occupancy
Nd1 Nd 0.167 0.167 0.341 1
Nd2 Nd 0.833 0.833 0.659 1
Mg1 Mg 0.500 0.500 0.500 1
Cu1 Cu 0.130 0.685 0.151 1
Cu2 Cu 0.315 0.870 0.849 1
Cu3 Cu 0.316 0.316 0.849 1
Cu4 Cu 0.684 0.684 0.151 1
Cu5 Cu 0.685 0.130 0.151 1
Cu6 Cu 0.870 0.315 0.849 1
```

Output
Electronic total energy   -4.071 eV per atom

Entry 8:
VASP calculation (PBE) on an optimized crystal structure of NdMg2Cu.

Structure (CIF):
```
data_NdMg2Cu
_chemical_formula_sum 'Nd8 Mg16 Cu8'
_cell_length_a 16.241
_cell_length_b 8.119
_cell_length_c 5.540
_cell_angle_alpha 90.00
_cell_angle_beta 90.00
_cell_angle_gamma 90.00
_space_group_name_H-M_alt 'P 1'
_space_group_IT_number 1
_space_group_name_Hall 'P 1'
loop_
_atom_site_label
_atom_site_type_symbol
_atom_site_fract_x
_atom_site_fract_y
_atom_site_fract_z
_atom_site_occupancy
Nd1 Nd 0.107 0.250 0.247 1
Nd2 Nd 0.137 0.750 0.069 1
Nd3 Nd 0.363 0.250 0.569 1
Nd4 Nd 0.393 0.750 0.747 1
Nd5 Nd 0.607 0.250 0.253 1
Nd6 Nd 0.637 0.750 0.431 1
Nd7 Nd 0.863 0.250 0.931 1
Nd8 Nd 0.893 0.750 0.753 1
Mg1 Mg 0.039 0.055 0.743 1
Mg2 Mg 0.039 0.445 0.743 1
Mg3 Mg 0.214 0.555 0.559 1
Mg4 Mg 0.214 0.945 0.559 1
Mg5 Mg 0.286 0.055 0.059 1
Mg6 Mg 0.286 0.445 0.059 1
Mg7 Mg 0.461 0.555 0.243 1
Mg8 Mg 0.461 0.945 0.243 1
Mg9 Mg 0.539 0.055 0.757 1
Mg10 Mg 0.539 0.445 0.757 1
Mg11 Mg 0.714 0.555 0.941 1
Mg12 Mg 0.714 0.945 0.941 1
Mg13 Mg 0.786 0.055 0.441 1
Mg14 Mg 0.786 0.445 0.441 1
Mg15 Mg 0.961 0.555 0.257 1
Mg16 Mg 0.961 0.945 0.257 1
Cu1 Cu 0.068 0.750 0.556 1
Cu2 Cu 0.184 0.250 0.754 1
Cu3 Cu 0.316 0.750 0.254 1
Cu4 Cu 0.432 0.250 0.056 1
Cu5 Cu 0.568 0.750 0.944 1
Cu6 Cu 0.684 0.250 0.746 1
Cu7 Cu 0.816 0.750 0.246 1
Cu8 Cu 0.932 0.250 0.444 1
```

Output
Electronic total energy   -3.175 eV per atom

Please write out number 3 again, unchanged.
VASP calculation (PBE) on an optimized crystal structure of NdMg2Cu2.

Structure (CIF):
```
data_NdMg2Cu2
_chemical_formula_sum 'Nd2 Mg4 Cu4'
_cell_length_a 4.858
_cell_length_b 3.951
_cell_length_c 11.056
_cell_angle_alpha 90.00
_cell_angle_beta 96.87
_cell_angle_gamma 90.00
_space_group_name_H-M_alt 'P 1'
_space_group_IT_number 1
_space_group_name_Hall 'P 1'
loop_
_atom_site_label
_atom_site_type_symbol
_atom_site_fract_x
_atom_site_fract_y
_atom_site_fract_z
_atom_site_occupancy
Nd1 Nd 0.183 0.250 0.243 1
Nd2 Nd 0.817 0.750 0.757 1
Mg1 Mg 0.249 0.750 0.497 1
Mg2 Mg 0.352 0.250 0.897 1
Mg3 Mg 0.648 0.750 0.103 1
Mg4 Mg 0.751 0.250 0.503 1
Cu1 Cu 0.135 0.750 0.026 1
Cu2 Cu 0.296 0.250 0.657 1
Cu3 Cu 0.704 0.750 0.343 1
Cu4 Cu 0.865 0.250 0.974 1
```

Output
Electronic total energy   -3.334 eV per atom
Energy relative to the lowest polymorph listed for this composition   0.12 eV/f.u.

> Which formula does entry 5 have?

NdMgCu10

> Which value of electronic total energy does entry 2 give?

-2.873 eV per atom